Record 1
First-principles (PBE) data for a relaxed LiCoW crystal, as listed in Alexandria via LeMat-Bulk.

abc: 4.1033 4.1033 2.5841
angles: 90.00 90.00 120.00
Space group P3m1 (No. 156)
One atom of each set of equivalent atoms:
Li 0.0000 0.0000 0.0000
Co 0.6667 0.3333 0.7353
W 0.3333 0.6667 0.4089

Output
- Calculated total energy: -0.514 Ry per atom
- N(E_F): 3.757 states/eV/f.u.
- Volume: 12.6 Å³/atom
- Density: 11.00 g cm⁻³

---

Record 2
First-principles (PBE) data for a relaxed RbTbMnI6 crystal, as listed in Alexandria via LeMat-Bulk.

abc: 7.7371 7.7371 16.5289
angles: 90.00 90.00 120.00
Space group P-31c (No. 163)
One atom of each set of equivalent atoms:
Rb 0.0000 0.0000 0.0000
Tb 0.3333 0.6667 0.2500
Mn 0.3333 0.6667 0.7500
I 0.0125 0.3773 0.6459

Output
- N(E_F): 0.000 states/eV/f.u.
- Uncorrected formation energy: -1096 meV per atom
- Volume: 47.6 Å³/atom
- Density: 4.11 g cm⁻³